The following is a GGA+U calculation of an optimized crystal structure of HgWF5, from Alexandria via LeMat-Bulk.

CIF file:
```
data_HgWF5
_space_group_name_H-M_alt 'P 1'
_space_group_IT_number 1
_cell_length_a 7.010
_cell_length_b 7.010
_cell_length_c 7.774
_cell_angle_alpha 56.43
_cell_angle_beta 56.43
_cell_angle_gamma 75.20
loop_
_space_group_symop_operation_xyz
'x,y,z'
loop_
_atom_site_label
_atom_site_fract_x
_atom_site_fract_y
_atom_site_fract_z
Hg1 0.267 0.233 0.250
Hg2 0.733 0.767 0.750
W1 0.000 0.000 0.000
W2 0.500 0.500 0.500
F1 0.999 0.001 0.256
F2 0.333 0.782 0.443
F3 0.501 0.499 0.756
F4 0.824 0.676 0.250
F5 0.718 0.167 0.057
F6 0.282 0.833 0.943
F7 0.176 0.324 0.750
F8 0.499 0.501 0.244
F9 0.667 0.218 0.557
F10 0.001 0.999 0.744
```

Computed properties:
symmetry: C2/c
DFT total energy: -4.57 eV/atom